Compound: SiHgTe2N
Source: Alexandria
Functional: GGA-PBEsol
Structure: relaxed

The structure belongs to space group P4/mmm (No. 123); the cell edges are 5.653, 5.653 and 3.284 Å and the angles 90.00°, 90.00° and 90.00°. The asymmetric unit holds Si at (0.000, 0.000, 0.000), Hg at (0.500, 0.500, 0.500), Te at (0.000, 0.500, 0.000) and N at (0.000, 0.000, 0.500).

The total magnetic moment comes out at 0.00 μB per atom. As for the electronic total energy: -4.226 eV/atom.

Compound: Zr2SiHgN
Source: Alexandria
Functional: GGA-PBEsol
Structure: relaxed

The structure belongs to space group P4/mmm (No. 123); the cell edges are 4.358, 4.358 and 4.551 Å and the angles 90.00°, 90.00° and 90.00°. The asymmetric unit holds Zr at (0.000, 0.500, 0.000), Si at (0.000, 0.000, 0.500), Hg at (0.500, 0.500, 0.500) and N at (0.500, 0.500, 0.000).

The total magnetic moment comes out at 0.00 μB per atom. As for the electronic total energy: -6.978 eV/atom.

Compound: Sr2HgN
Source: Alexandria
Functional: GGA-PBEsol
Structure: relaxed

The structure belongs to space group Fm-3m (No. 225); the cell edges are 7.256, 7.256 and 7.256 Å and the angles 90.00°, 90.00° and 90.00°. The asymmetric unit holds Sr at (0.250, 0.250, 0.250), Hg at (0.000, 0.000, 0.000) and N at (0.000, 0.000, 0.500).

The total magnetic moment comes out at 0.00 μB per atom. As for the electronic total energy: -3.151 eV/atom.

Compound: TaHgN2
Source: Alexandria
Functional: GGA-PBEsol
Structure: relaxed

The structure belongs to space group I-42d (No. 122); the cell edges are 5.392, 5.392 and 9.154 Å and the angles 90.00°, 90.00° and 90.00°. The asymmetric unit holds Ta at (0.000, 0.000, 0.000), Hg at (0.000, 0.000, 0.500) and N at (0.148, 0.250, 0.125).

The total magnetic moment comes out at 0.00 μB per atom. As for the electronic total energy: -7.811 eV/atom.

Compound: HgTeN2
Source: Alexandria
Functional: GGA-PBEsol
Structure: relaxed

The structure belongs to space group I-42d (No. 122); the cell edges are 4.972, 4.972 and 11.165 Å and the angles 90.00°, 90.00° and 90.00°. The asymmetric unit holds Hg at (0.000, 0.000, 0.000), Te at (0.000, 0.000, 0.500) and N at (0.218, 0.250, 0.625).

The total magnetic moment comes out at 0.00 μB per atom. As for the electronic total energy: -4.240 eV/atom.

Compound: Hg2TeN
Source: Alexandria
Functional: GGA-PBEsol
Structure: relaxed

The structure belongs to space group Fm-3m (No. 225); the cell edges are 6.999, 6.999 and 6.999 Å and the angles 90.00°, 90.00° and 90.00°. The asymmetric unit holds Hg at (0.250, 0.250, 0.250), Te at (0.000, 0.000, 0.000) and N at (0.000, 0.000, 0.500).

The total magnetic moment comes out at 0.60 μB per atom. As for the electronic total energy: -2.098 eV/atom.

Compound: ZrHgTe2N
Source: Alexandria
Functional: GGA-PBEsol
Structure: relaxed

The structure belongs to space group P4/mmm (No. 123); the cell edges are 5.581, 5.581 and 3.975 Å and the angles 90.00°, 90.00° and 90.00°. The asymmetric unit holds Zr at (0.000, 0.000, 0.000), Hg at (0.500, 0.500, 0.500), Te at (0.000, 0.500, 0.500) and N at (0.500, 0.500, 0.000).

The total magnetic moment comes out at 0.06 μB per atom. As for the electronic total energy: -4.061 eV/atom.

Compound: Ti3HgN
Source: Alexandria
Functional: GGA-PBEsol
Structure: relaxed

The structure belongs to space group Pm-3m (No. 221); the cell edges are 4.132, 4.132 and 4.132 Å and the angles 90.00°, 90.00° and 90.00°. The asymmetric unit holds Ti at (0.000, 0.000, 0.500), Hg at (0.500, 0.500, 0.500) and N at (0.000, 0.000, 0.000).

The total magnetic moment comes out at 0.00 μB per atom. As for the electronic total energy: -7.819 eV/atom.

Compound: TlZnHgN2
Source: Alexandria
Functional: GGA-PBEsol
Structure: relaxed

The structure belongs to space group P4/mmm (No. 123); the cell edges are 4.063, 4.063 and 5.494 Å and the angles 90.00°, 90.00° and 90.00°. The asymmetric unit holds Tl at (0.000, 0.000, 0.000), Zn at (0.000, 0.000, 0.500), Hg at (0.500, 0.500, 0.000) and N at (0.000, 0.500, 0.500).

The total magnetic moment comes out at 0.54 μB per atom. As for the electronic total energy: -3.006 eV/atom.

Compound: HgWN2
Source: Alexandria
Functional: GGA-PBEsol
Structure: relaxed

The structure belongs to space group Fd-3m (No. 227, origin choice 2); the cell edges are 8.544, 8.544 and 8.544 Å and the angles 90.00°, 90.00° and 90.00°. The asymmetric unit holds Hg at (0.125, 0.125, 0.125), W at (0.125, 0.125, 0.625) and N at (0.000, 0.000, 0.500).

The total magnetic moment comes out at 0.00 μB per atom. As for the electronic total energy: -8.000 eV/atom.

Compound: Na8Hg3
Source: Alexandria
Functional: GGA-PBEsol
Structure: relaxed

The structure belongs to space group R-3c (No. 167, hexagonal axes); the cell edges are 9.0704, 9.0704 and 51.6312 Å and the angles 90.00°, 90.00° and 120.00°. The asymmetric unit holds Na at (0.0000, 0.0000, 0.0617), Na at (0.0000, 0.0000, 0.2199), Na at (0.0070, 0.2559, 0.1144), Na at (0.0087, 0.3655, 0.8514), Hg at (0.0000, 0.0000, 0.0000), Hg at (0.0000, 0.0000, 0.1579) and Hg at (0.0000, 0.3152, 0.2500).

The total magnetic moment comes out at 0.00 μB per atom. The calculation puts the formation energy at -0.16 eV per atom.

Compound: NaHg3
Source: Alexandria
Functional: GGA-PBEsol
Structure: relaxed

The structure belongs to space group Pm-3m (No. 221); the cell edges are 4.498, 4.498 and 4.498 Å and the angles 90.00°, 90.00° and 90.00°. The asymmetric unit holds Na at (0.000, 0.000, 0.000) and Hg at (0.000, 0.500, 0.500).

The total magnetic moment comes out at 0.00 μB per atom. The calculation puts the formation energy at -0.20 eV per atom.

- Which of these has the highest total magnetic moment?
  Hg2TeN

Repeat the seventh record exactly.
Compound: ZrHgTe2N
Source: Alexandria
Functional: GGA-PBEsol
Structure: relaxed

The structure belongs to space group P4/mmm (No. 123); the cell edges are 5.581, 5.581 and 3.975 Å and the angles 90.00°, 90.00° and 90.00°. The asymmetric unit holds Zr at (0.000, 0.000, 0.000), Hg at (0.500, 0.500, 0.500), Te at (0.000, 0.500, 0.500) and N at (0.500, 0.500, 0.000).

The total magnetic moment comes out at 0.06 μB per atom. As for the electronic total energy: -4.061 eV/atom.

- Look up the total magnetic moment of the fifth one.
  0.00 μB per atom